Entry 1:
First-principles (meta-GGA SCAN) data for a crystal of SmRh2 relaxed with PBEsol, as listed in Alexandria.

abc: 5.297 5.297 5.297
angles: 60.00 60.00 60.00
Sites, in units of the cell vectors:
Sm: 0.750 0.750 0.750
Sm: 0.500 0.500 0.500
Rh: 0.625 0.125 0.125
Rh: 0.125 0.625 0.125
Rh: 0.125 0.125 0.625
Rh: 0.125 0.125 0.125

Calculated values
The magnetization comes out at 0.00 μB per formula unit. The calculation puts the energy of formation at -0.794 eV per atom. For the calculated total energy, the calculation gives -38.12 eV per atom.

---

Entry 2:
First-principles (meta-GGA SCAN) data for a crystal of SmSn4Rh2 relaxed with PBEsol, as listed in Alexandria.

abc: 4.438 7.109 18.282
angles: 90.00 90.00 90.00
Sites, in units of the cell vectors:
Sn: 0.750 0.479 0.068
Sn: 0.250 0.300 0.182
Sn: 0.750 0.367 0.467
Sn: 0.250 0.867 0.033
Sn: 0.750 0.021 0.568
Sn: 0.250 0.633 0.533
Sn: 0.750 0.133 0.967
Sn: 0.750 0.276 0.806
Sn: 0.750 0.224 0.306
Sn: 0.250 0.776 0.694
Sn: 0.250 0.724 0.194
Sn: 0.250 0.200 0.682
Sn: 0.250 0.979 0.432
Sn: 0.750 0.800 0.318
Sn: 0.750 0.700 0.818
Sn: 0.250 0.521 0.932
Sm: 0.750 0.004 0.142
Sm: 0.250 0.504 0.358
Sm: 0.750 0.496 0.642
Sm: 0.250 0.996 0.858
Rh: 0.250 0.017 0.286
Rh: 0.750 0.750 0.965
Rh: 0.750 0.517 0.214
Rh: 0.750 0.983 0.714
Rh: 0.250 0.250 0.535
Rh: 0.250 0.483 0.786
Rh: 0.250 0.250 0.035
Rh: 0.750 0.750 0.465

Calculated values
The magnetization comes out at 0.00 μB per formula unit. The calculation puts the energy of formation at -0.686 eV per atom. For the calculated total energy, the calculation gives -37.21 eV per atom.

---

Entry 3:
First-principles (meta-GGA SCAN) data for a crystal of SmTmRh2 relaxed with PBEsol, as listed in Alexandria.

abc: 4.788 4.788 4.788
angles: 60.00 60.00 60.00
Sites, in units of the cell vectors:
Rh: 0.750 0.750 0.750
Rh: 0.250 0.250 0.250
Tm: 0.000 0.000 0.000
Sm: 0.500 0.500 0.500

Calculated values
The magnetization comes out at 0.00 μB per formula unit. The calculation puts the energy of formation at -0.945 eV per atom. For the calculated total energy, the calculation gives -41.90 eV per atom.

---

calculated total energy of number 1 (SmRh2)? -38.12 eV per atom